(1)
Cr2Te2Cl | GGA-PBE | relaxed

POSCAR file:
```
Cr2Te2Cl
1.0
-0.529 -8.728 -0.178
0.322 -0.198 8.738
-3.223 0.193 0.123
Cr Te Cl
4 4 2
Direct
0.576 0.924 0.500
0.924 0.424 0.500
0.424 0.076 0.500
0.076 0.576 0.500
0.660 0.160 0.000
0.340 0.840 0.000
0.160 0.340 0.000
0.840 0.660 0.000
0.500 0.500 0.000
0.000 0.000 0.000
```

Offset from the most stable computed form = 441 meV/atom
Energy relative to the elements, uncorrected = 343 meV/atom
VASP energy = -5.1327 eV/atom

(2)
Pm3Pa3AlN8 | GGA-PBE | relaxed

POSCAR file:
```
Pm3Pa3AlN8
1.0
6.880 0.000 0.000
-3.440 5.957 -0.021
0.000 -3.952 5.780
N Pa Pm Al
8 3 3 1
Direct
0.743 0.485 0.728
0.224 0.976 0.700
0.257 0.515 0.272
0.249 0.024 0.300
0.776 0.552 0.300
0.776 0.024 0.300
0.224 0.448 0.700
0.751 0.976 0.700
0.000 0.500 0.500
0.500 0.000 0.500
0.500 0.500 0.500
0.000 0.000 0.000
0.000 0.500 0.000
0.500 0.500 0.000
0.000 0.000 0.500
```

Energy relative to the elements, uncorrected = -1325 meV/atom
VASP energy = -8.8643 eV/atom